Entry 1:
SrCr2F: relaxed, PBE with a Hubbard U.

```
SrCr2F
1.0
2.580 -2.609 -3.822
1.696 -4.947 0.850
-2.334 -4.063 -2.475
Cr F Sr
2 1 1
Direct
0.250 0.250 0.250
0.750 0.750 0.750
0.000 0.000 0.000
0.500 0.500 0.500
```

Results
distance to the lowest polymorph of the same formula: 41.96 kJ per mole of atoms
symmetry: Fm-3m (225)
calculated density: 3.32 g cm⁻³



Entry 2:
Sr2CrF: relaxed, PBE with a Hubbard U.

```
Sr2CrF
1.0
7.595 0.000 0.000
0.000 7.595 0.000
3.798 3.798 4.433
Sr Cr F
4 2 2
Direct
0.219 0.625 0.250
0.875 0.781 0.750
0.375 0.469 0.750
0.531 0.125 0.250
0.750 0.250 0.500
0.000 0.000 0.000
0.500 0.500 0.000
0.250 0.750 0.500
```

Results
distance to the lowest polymorph of the same formula: 0.00 kJ per mole of atoms
symmetry: I-42d (122)
calculated density: 3.20 g cm⁻³



Entry 3:
SrCr2F2: relaxed, PBE with a Hubbard U.

```
SrCr2F2
1.0
-2.556 -2.357 -2.664
-2.337 -1.361 3.446
-5.244 1.720 -0.093
F Cr Sr
2 2 1
Direct
0.250 0.750 0.500
0.750 0.250 0.500
0.391 0.391 0.218
0.609 0.609 0.782
0.000 0.000 0.000
```

Results
distance to the lowest polymorph of the same formula: 48.55 kJ per mole of atoms
symmetry: I4/mmm (139)
calculated density: 4.35 g cm⁻³



Entry 4:
Sr3CrF8: relaxed, PBE with a Hubbard U.

```
Sr3CrF8
1.0
6.620 -0.225 0.000
-3.303 5.742 0.000
0.000 0.000 7.005
F Sr Cr
8 3 1
Direct
0.321 0.255 0.718
0.294 0.706 0.500
0.706 0.294 0.500
0.745 0.679 0.282
0.679 0.745 0.718
0.255 0.321 0.282
0.709 0.291 0.000
0.291 0.709 0.000
0.000 0.500 0.263
0.500 0.000 0.737
0.500 0.500 0.000
0.500 0.500 0.500
```

Results
symmetry: C222 (21)
calculated total energy: -0.4230 Ry/atom
calculated density: 2.97 g cm⁻³



Entry 5:
Sr2CrF: relaxed, PBE with a Hubbard U.

```
Sr2CrF
1.0
0.483 0.385 5.563
-2.041 4.468 2.684
-4.532 -0.513 3.245
Sr F Cr
2 1 1
Direct
0.250 0.250 0.250
0.750 0.750 0.750
0.000 0.000 0.000
0.500 0.500 0.500
```

Results
distance to the lowest polymorph of the same formula: 46.33 kJ per mole of atoms
symmetry: Fm-3m (225)
calculated density: 3.30 g cm⁻³



Entry 6:
SrCrF2: relaxed, PBE with a Hubbard U.

```
SrCrF2
1.0
0.363 -4.491 1.032
-2.774 -1.870 3.190
-3.332 -2.940 -1.272
Cr F Sr
1 2 1
Direct
0.000 0.000 0.000
0.250 0.250 0.250
0.750 0.750 0.750
0.500 0.500 0.500
```

Results
distance to the lowest polymorph of the same formula: 41.03 kJ per mole of atoms
symmetry: Fm-3m (225)
calculated density: 4.22 g cm⁻³



Entry 7:
Sr3CrF12: relaxed, PBE with a Hubbard U.

```
Sr3CrF12
1.0
6.984 3.931 1.038
-6.984 3.931 1.038
0.000 4.892 5.555
F Sr Cr
12 3 1
Direct
0.042 0.438 0.337
0.680 0.862 0.313
0.862 0.680 0.313
0.438 0.042 0.337
0.179 0.336 0.011
0.958 0.562 0.663
0.336 0.179 0.011
0.821 0.664 0.989
0.664 0.821 0.989
0.320 0.138 0.687
0.562 0.958 0.663
0.138 0.320 0.687
0.000 0.000 0.500
0.000 0.500 0.000
0.500 0.000 0.000
0.000 0.000 0.000
```

Results
symmetry: C2/m (12)
calculated total energy: -0.3583 Ry/atom
calculated density: 3.85 g cm⁻³



Entry 8:
SrCr2F2: relaxed, PBE with a Hubbard U.

```
SrCr2F2
1.0
-6.915 1.035 -4.493
3.676 -3.650 -6.499
-1.140 -3.029 1.056
F Cr Sr
4 4 2
Direct
0.760 0.740 0.500
0.240 0.260 0.500
0.740 0.240 0.500
0.260 0.760 0.500
0.618 0.118 0.000
0.382 0.882 0.000
0.118 0.382 0.000
0.882 0.618 0.000
0.500 0.500 0.000
0.000 0.000 0.000
```

Results
distance to the lowest polymorph of the same formula: 0.00 kJ per mole of atoms
symmetry: P4/mbm (127)
calculated density: 3.24 g cm⁻³



Entry 9:
SrCr3F: relaxed, PBE with a Hubbard U.

```
SrCr3F
1.0
4.906 0.000 0.000
0.000 4.906 0.000
0.000 0.000 4.906
F Cr Sr
1 3 1
Direct
0.000 0.000 0.000
0.500 0.000 0.000
0.000 0.000 0.500
0.000 0.500 0.000
0.500 0.500 0.500
```

Results
symmetry: Pm-3m (221)
calculated total energy: -0.3786 Ry/atom
calculated density: 3.69 g cm⁻³



Entry 10:
Sr2CrF8: relaxed, PBE with a Hubbard U.

```
Sr2CrF8
1.0
-3.873 -1.325 -2.370
0.444 -6.272 -0.711
-3.916 -2.493 4.300
F Sr Cr
8 2 1
Direct
0.750 0.291 0.948
0.774 0.888 0.888
0.250 0.052 0.709
0.808 0.408 0.408
0.750 0.948 0.291
0.226 0.112 0.112
0.192 0.592 0.592
0.250 0.709 0.052
0.641 0.662 0.662
0.359 0.338 0.338
0.000 0.000 0.000
```

Results
symmetry: C2/m (12)
calculated total energy: -0.4110 Ry/atom
calculated density: 3.68 g cm⁻³



Entry 11:
SrCrF5: relaxed, PBE with a Hubbard U.

```
SrCrF5
1.0
-1.707 -3.030 -4.659
2.953 -3.570 3.512
-5.987 1.491 5.162
Cr F Sr
2 10 2
Direct
0.500 0.000 0.500
0.000 0.000 0.000
0.245 0.295 0.973
0.872 0.203 0.114
0.128 0.797 0.886
0.411 0.242 0.614
0.178 0.728 0.473
0.589 0.758 0.386
0.822 0.272 0.527
0.314 0.064 0.250
0.755 0.705 0.027
0.686 0.936 0.750
0.705 0.455 0.250
0.295 0.545 0.750
```

Results
symmetry: C2/c (15)
calculated total energy: -0.4351 Ry/atom
calculated density: 3.40 g cm⁻³



Entry 12:
SrCrF2: relaxed, PBE with a Hubbard U.

```
SrCrF2
1.0
-3.036 -4.301 -1.629
3.934 -1.418 -3.589
3.097 -6.351 1.673
Sr F Cr
2 4 2
Direct
0.750 0.250 0.500
0.000 0.000 0.000
0.661 0.125 0.250
0.375 0.339 0.750
0.089 0.625 0.250
0.875 0.911 0.750
0.500 0.500 0.000
0.250 0.750 0.500
```

Results
distance to the lowest polymorph of the same formula: 22.12 kJ per mole of atoms
symmetry: I-42d (122)
calculated density: 3.17 g cm⁻³